Record 1
DFT (PBEsol) results for crystalline Mg2BeRe at its relaxed geometry.

Unit cell a=2.7257 b=2.7257 c=8.6282 alpha=90.00 beta=90.00 gamma=106.01
Last column: nearest neighbours and their distance in Å.
Atoms (fractional coordinates):
Mg 0.0000 0.0000 0.0000  4 Mg 2.73, 2 Re 2.76
Mg 0.5000 0.5000 0.3104  2 Be 2.63, 4 Mg 2.73
Be 0.0000 0.0000 0.5488  2 Re 2.34
Re 0.5000 0.5000 0.7426  2 Be 2.34

The magnetic moment comes out at 0.0 μB/f.u. The value obtained for the energy of formation from the pure elements is 0.31 eV/atom. As for the space-group type: No. 35.

***

Record 2
DFT (PBEsol) results for crystalline MgBe3Re at its relaxed geometry.

Unit cell a=4.0090 b=4.0090 c=4.0090 alpha=90.00 beta=90.00 gamma=90.00
Last column: nearest neighbours and their distance in Å.
Atoms (fractional coordinates):
Mg 0.0000 0.0000 0.0000  6 Be 2.00
Be 0.0000 0.0000 0.5000  2 Mg 2.00
Be 0.0000 0.5000 0.0000  2 Mg 2.00
Be 0.5000 0.0000 0.0000  2 Mg 2.00
Re 0.5000 0.5000 0.5000  12 Be 2.83

The magnetic moment comes out at 1.4 μB/f.u. The value obtained for the energy of formation from the pure elements is 1.86 eV/atom. As for the space-group type: No. 221.

***

Record 3
DFT (PBEsol) results for crystalline MgBeRe at its relaxed geometry.

Unit cell a=6.3182 b=6.3182 c=6.3182 alpha=155.98 beta=155.98 gamma=34.23
Last column: nearest neighbours and their distance in Å.
Atoms (fractional coordinates):
Mg 0.0000 0.0000 0.0000  4 Mg 2.63, 4 Be 2.79, 4 Re 2.94
Be 0.3282 0.3282 0.0000  4 Re 2.51, 4 Be 2.63, 4 Mg 2.79
Re 0.6888 0.6888 0.0000  4 Be 2.51, 4 Re 2.63

The magnetic moment comes out at 0.0 μB/f.u. The value obtained for the energy of formation from the pure elements is 0.38 eV/atom. As for the space-group type: No. 107.

***

Record 4
DFT (PBEsol) results for crystalline MgBe2Re at its relaxed geometry.

Unit cell a=4.1645 b=4.1645 c=2.7326 alpha=90.00 beta=90.00 gamma=90.43
Last column: nearest neighbours and their distance in Å.
Atoms (fractional coordinates):
Mg 0.0000 0.0000 0.0000  8 Be 2.49, 2 Mg 2.73
Be 0.0000 0.5000 0.5000  4 Re 2.49, 4 Mg 2.49, 2 Be 2.73
Be 0.5000 0.0000 0.5000  4 Re 2.49, 4 Mg 2.49, 2 Be 2.73
Re 0.5000 0.5000 0.0000  8 Be 2.49, 2 Re 2.73

The magnetic moment comes out at 0.0 μB/f.u. The value obtained for the energy of formation from the pure elements is 0.17 eV/atom. As for the space-group type: No. 65.

***

Record 5
DFT (PBEsol) results for crystalline Mg2BeZnRe at its relaxed geometry.

Unit cell a=4.4203 b=4.4203 c=4.2244 alpha=90.00 beta=90.00 gamma=90.00
Last column: nearest neighbours and their distance in Å.
Atoms (fractional coordinates):
Mg 0.0000 0.5000 0.0000  2 Be 2.21
Mg 0.5000 0.0000 0.0000  2 Be 2.21
Be 0.0000 0.0000 0.0000  2 Re 2.11, 4 Mg 2.21
Zn 0.5000 0.5000 0.5000  8 Mg 3.06, 4 Re 3.13
Re 0.0000 0.0000 0.5000  2 Be 2.11

The magnetic moment comes out at 0.9 μB/f.u. The value obtained for the energy of formation from the pure elements is 0.70 eV/atom. As for the space-group type: No. 123.

***

Record 6
DFT (PBEsol) results for crystalline Mg2BeRh at its relaxed geometry.

Unit cell a=3.9402 b=3.9402 c=3.7148 alpha=90.00 beta=90.00 gamma=90.00
Last column: nearest neighbours and their distance in Å.
Atoms (fractional coordinates):
Mg 0.0000 0.5000 0.0000  4 Be 2.71, 4 Rh 2.71, 4 Mg 2.79
Mg 0.5000 0.0000 0.0000  4 Be 2.71, 4 Rh 2.71, 4 Mg 2.79
Be 0.0000 0.0000 0.5000  8 Mg 2.71, 4 Rh 2.79
Rh 0.5000 0.5000 0.5000  8 Mg 2.71, 4 Be 2.79

The magnetic moment comes out at 0.0 μB/f.u. The value obtained for the energy of formation from the pure elements is -0.10 eV/atom. As for the space-group type: No. 123.

***

Record 7
DFT (PBEsol) results for crystalline MgBe2Rh at its relaxed geometry.

Unit cell a=3.9329 b=3.9329 c=2.9850 alpha=90.00 beta=90.00 gamma=90.00
Last column: nearest neighbours and their distance in Å.
Atoms (fractional coordinates):
Mg 0.0000 0.0000 0.0000  8 Be 2.47
Be 0.0000 0.5000 0.5000  4 Mg 2.47, 4 Rh 2.47
Be 0.5000 0.0000 0.5000  4 Mg 2.47, 4 Rh 2.47
Rh 0.5000 0.5000 0.0000  8 Be 2.47

The magnetic moment comes out at 0.0 μB/f.u. The value obtained for the energy of formation from the pure elements is -0.18 eV/atom. As for the space-group type: No. 123.

***

Record 8
DFT (PBEsol) results for crystalline Mg2BeRh at its relaxed geometry.

Unit cell a=2.9830 b=2.9830 c=6.9340 alpha=90.00 beta=90.00 gamma=90.00
Last column: nearest neighbours and their distance in Å.
Atoms (fractional coordinates):
Mg 0.0000 0.0000 0.0000  1 Rh 2.72, 4 Be 2.81, 4 Mg 2.98
Mg 0.5000 0.5000 0.3513  1 Be 2.64, 4 Rh 2.76
Be 0.5000 0.5000 0.7316  4 Rh 2.28
Rh 0.0000 0.0000 0.6072  4 Be 2.28

The magnetic moment comes out at 0.0 μB/f.u. The value obtained for the energy of formation from the pure elements is -0.31 eV/atom. As for the space-group type: No. 99.